! AlIr2Pb, optimized geometry, DFT PBE; values from VASP
&SYSTEM
  ibrav = 0, nat = 4, ntyp = 3
/
ATOMIC_SPECIES
Al 26.98 Al.upf
Ir 192.22 Ir.upf
Pb 207.20 Pb.upf
CELL_PARAMETERS angstrom
4.2982 -1.5131 0.0000
4.2982 1.5131 0.0000
-1.0909 0.0000 5.3281
ATOMIC_POSITIONS crystal
Al 0.0000 0.0000 0.0000
Ir 0.2671 0.2671 0.7907
Ir 0.7329 0.7329 0.2093
Pb 0.5000 0.5000 0.5000
! * energy of formation: 5.6 kJ/mol of atoms
! * energy above the most stable polymorph in this dataset: 5.24 kcal/mol of atoms
! * symmetry: C2/m, No. 12
! * crystal system: monoclinic

---

! CeNd2DyTe5, optimized geometry, DFT PBE; values from VASP
&SYSTEM
  ibrav = 0, nat = 9, ntyp = 4
/
ATOMIC_SPECIES
Ce 140.12 Ce.upf
Nd 144.24 Nd.upf
Dy 162.50 Dy.upf
Te 127.60 Te.upf
CELL_PARAMETERS angstrom
5.5465 0.0000 0.0000
0.0000 5.5465 0.0000
0.0000 0.0000 11.9020
ATOMIC_POSITIONS crystal
Ce 0.0000 0.0000 0.0000
Nd 0.5000 0.5000 0.3440
Nd 0.5000 0.5000 0.6560
Dy 0.0000 0.0000 0.5000
Te 0.0000 0.0000 0.2519
Te 0.0000 0.0000 0.7481
Te 0.0000 0.5000 0.5000
Te 0.5000 0.0000 0.5000
Te 0.5000 0.5000 0.0000
! * ΔE_f (raw): -0.83 eV/atom
! * symmetry: P4/mmm, No. 123
! * crystal system: tetragonal

---

! CaZnSi2, optimized geometry, DFT PBE; values from VASP
&SYSTEM
  ibrav = 0, nat = 4, ntyp = 3
/
ATOMIC_SPECIES
Ca 40.08 Ca.upf
Zn 65.41 Zn.upf
Si 28.09 Si.upf
CELL_PARAMETERS angstrom
4.1803 0.0000 0.0000
0.0000 4.1803 0.0000
0.0000 0.0000 4.1650
ATOMIC_POSITIONS crystal
Ca 0.0000 0.0000 0.0000
Zn 0.5000 0.5000 0.0000
Si 0.0000 0.5000 0.5000
Si 0.5000 0.0000 0.5000
! * ΔE_f (raw): -0.03 eV/atom
! * symmetry: P4/mmm, No. 123
! * crystal system: tetragonal

---

! Tb2YEr7, optimized geometry, DFT PBE; values from VASP
&SYSTEM
  ibrav = 0, nat = 10, ntyp = 3
/
ATOMIC_SPECIES
Tb 158.93 Tb.upf
Y 88.91 Y.upf
Er 167.26 Er.upf
CELL_PARAMETERS angstrom
6.0979 0.0000 0.0000
2.0334 6.7611 0.0000
2.0361 1.2147 7.5024
ATOMIC_POSITIONS crystal
Tb 0.2002 0.3003 0.1000
Tb 0.7998 0.6997 0.9000
Y 0.0000 0.0000 0.5000
Er 0.0000 0.5000 0.5000
Er 0.2004 0.7998 0.0989
Er 0.3998 0.1004 0.7002
Er 0.4018 0.5993 0.6997
Er 0.5982 0.4007 0.3003
Er 0.6002 0.8996 0.2998
Er 0.7996 0.2002 0.9011
! * energy of formation: 2.2 kJ/mol of atoms
! * energy above the most stable polymorph in this dataset: 0.00 kcal/mol of atoms
! * symmetry: P-1, No. 2
! * crystal system: triclinic

---

! Pm2Np2S7, optimized geometry, DFT PBE; values from VASP
&SYSTEM
  ibrav = 0, nat = 11, ntyp = 3
/
ATOMIC_SPECIES
Pm 145.00 Pm.upf
Np 237.00 Np.upf
S 32.06 S.upf
CELL_PARAMETERS angstrom
-1.9911 7.0518 4.3029
1.9911 -7.0518 4.3029
1.9911 7.0518 -4.3029
ATOMIC_POSITIONS crystal
Pm 0.2416 0.0000 0.2416
Pm 0.7584 0.0000 0.7584
Np 0.2933 0.7933 0.5000
Np 0.7515 0.7515 0.0000
S 0.0159 0.6977 0.3182
S 0.0706 0.0706 0.0000
S 0.3679 0.4731 0.8948
S 0.3795 0.6977 0.6818
S 0.5783 0.4731 0.1052
S 0.6714 0.3004 0.3710
S 0.9294 0.3004 0.6290
! * ΔE_f (raw): -1.61 eV/atom
! * symmetry: Imm2, No. 44
! * crystal system: orthorhombic

---

! Mo2BrN, optimized geometry, DFT PBE; values from VASP
&SYSTEM
  ibrav = 0, nat = 8, ntyp = 3
/
ATOMIC_SPECIES
Mo 95.94 Mo.upf
Br 79.90 Br.upf
N 14.01 N.upf
CELL_PARAMETERS angstrom
-2.3160 2.3160 6.2933
2.3160 -2.3160 6.2933
2.3160 2.3160 -6.2933
ATOMIC_POSITIONS crystal
Mo 0.0168 0.6250 0.8918
Mo 0.3750 0.2668 0.3918
Mo 0.7332 0.1250 0.1082
Mo 0.8750 0.9832 0.6082
Br 0.2500 0.7500 0.5000
Br 0.5000 0.5000 0.0000
N 0.0000 0.0000 0.0000
N 0.7500 0.2500 0.5000
! * ΔE_f (raw): 0.42 eV/atom
! * energy above the most stable polymorph in this dataset: 0.00 kcal/mol of atoms
! * symmetry: I-42d, No. 122
! * crystal system: tetragonal

---

! La6Si2C, optimized geometry, DFT PBE; values from VASP
&SYSTEM
  ibrav = 0, nat = 18, ntyp = 3
/
ATOMIC_SPECIES
La 138.91 La.upf
Si 28.09 Si.upf
C 12.01 C.upf
CELL_PARAMETERS angstrom
6.9467 0.0000 0.0000
0.0000 6.9467 0.0000
0.0000 0.0000 12.3071
ATOMIC_POSITIONS crystal
La 0.1945 0.1945 0.1465
La 0.1945 0.1945 0.8535
La 0.2263 0.2263 0.5000
La 0.2737 0.7263 0.0000
La 0.3055 0.6945 0.3535
La 0.3055 0.6945 0.6465
La 0.6945 0.3055 0.3535
La 0.6945 0.3055 0.6465
La 0.7263 0.2737 0.0000
La 0.7737 0.7737 0.5000
La 0.8055 0.8055 0.1465
La 0.8055 0.8055 0.8535
Si 0.0000 0.0000 0.3323
Si 0.0000 0.0000 0.6677
Si 0.5000 0.5000 0.1677
Si 0.5000 0.5000 0.8323
C 0.0000 0.0000 0.0000
C 0.5000 0.5000 0.5000
! * ΔE_f (raw): -0.20 eV/atom
! * energy above the most stable polymorph in this dataset: 4.20 kcal/mol of atoms
! * symmetry: P4_2/mnm, No. 136
! * crystal system: tetragonal

---

! Li4Dy3Ge4, optimized geometry, DFT PBE; values from VASP
&SYSTEM
  ibrav = 0, nat = 11, ntyp = 3
/
ATOMIC_SPECIES
Li 6.94 Li.upf
Dy 162.50 Dy.upf
Ge 72.64 Ge.upf
CELL_PARAMETERS angstrom
-2.1580 3.3603 7.1507
2.1580 -3.3603 7.1507
2.1580 3.3603 -7.1507
ATOMIC_POSITIONS crystal
Li 0.0180 0.8277 0.1903
Li 0.3625 0.1723 0.1903
Li 0.6375 0.8277 0.8097
Li 0.9820 0.1723 0.8097
Dy 0.0000 0.5000 0.5000
Dy 0.3717 0.3717 0.0000
Dy 0.6283 0.6283 0.0000
Ge 0.2144 0.7144 0.5000
Ge 0.3097 0.0000 0.3097
Ge 0.6903 0.0000 0.6903
Ge 0.7856 0.2856 0.5000
! * energy of formation: -64.0 kJ/mol of atoms
! * symmetry: Immm, No. 71
! * crystal system: orthorhombic

---

! SbTeMo2P, optimized geometry, DFT PBE; values from VASP
&SYSTEM
  ibrav = 0, nat = 5, ntyp = 4
/
ATOMIC_SPECIES
Sb 121.76 Sb.upf
Te 127.60 Te.upf
Mo 95.94 Mo.upf
P 30.97 P.upf
CELL_PARAMETERS angstrom
5.1976 0.0000 0.0000
0.0000 5.1976 0.0000
0.0000 0.0000 5.6710
ATOMIC_POSITIONS crystal
Sb 0.0000 0.0000 0.0000
Te 0.0000 0.0000 0.5000
Mo 0.0000 0.5000 0.0000
Mo 0.5000 0.0000 0.0000
P 0.5000 0.5000 0.5000
! * ΔE_f (raw): 2.05 eV/atom
! * symmetry: P4/mmm, No. 123
! * crystal system: tetragonal

---

! TaVN2, optimized geometry, DFT PBE; values from VASP
&SYSTEM
  ibrav = 0, nat = 8, ntyp = 3
/
ATOMIC_SPECIES
Ta 180.95 Ta.upf
V 50.94 V.upf
N 14.01 N.upf
CELL_PARAMETERS angstrom
-2.3063 2.3063 4.6531
2.3063 -2.3063 4.6531
2.3063 2.3063 -4.6531
ATOMIC_POSITIONS crystal
Ta 0.0000 0.0000 0.0000
Ta 0.7500 0.2500 0.5000
V 0.2500 0.7500 0.5000
V 0.5000 0.5000 0.0000
N 0.1350 0.6250 0.0100
N 0.3750 0.3850 0.5100
N 0.6150 0.1250 0.9900
N 0.8750 0.8650 0.4900
! * ΔE_f (raw): -0.79 eV/atom
! * symmetry: I-42d, No. 122
! * crystal system: tetragonal

---

! Nb3InO9, optimized geometry, DFT PBE; values from VASP
&SYSTEM
  ibrav = 0, nat = 26, ntyp = 3
/
ATOMIC_SPECIES
Nb 92.91 Nb.upf
In 114.82 In.upf
O 16.00 O.upf
CELL_PARAMETERS angstrom
5.1834 0.0000 0.0000
0.0000 7.6516 0.0000
-0.1599 0.0000 8.4696
ATOMIC_POSITIONS crystal
Nb 0.0093 0.0000 0.0043
Nb 0.4723 0.5663 0.6911
Nb 0.4868 0.0544 0.7050
Nb 0.5132 0.5544 0.2950
Nb 0.5277 0.0663 0.3089
Nb 0.9907 0.5000 0.9957
In 0.0295 0.8158 0.4582
In 0.9705 0.3158 0.5418
O 0.1158 0.7772 0.9782
O 0.1631 0.4608 0.7811
O 0.1670 0.0970 0.8048
O 0.2413 0.0962 0.4806
O 0.2754 0.4849 0.4746
O 0.3146 0.0935 0.1328
O 0.3206 0.4753 0.1214
O 0.3259 0.7942 0.6557
O 0.3753 0.7908 0.3191
O 0.6247 0.2908 0.6809
O 0.6741 0.2942 0.3443
O 0.6794 0.9753 0.8786
O 0.6854 0.5935 0.8672
O 0.7246 0.9849 0.5254
O 0.7587 0.5962 0.5194
O 0.8330 0.5970 0.1952
O 0.8369 0.9608 0.2189
O 0.8842 0.2772 0.0218
! * ΔE_f (raw): -2.31 eV/atom
! * symmetry: P2_1, No. 4
! * crystal system: monoclinic

---

! HoHfPa2N4, optimized geometry, DFT PBE; values from VASP
&SYSTEM
  ibrav = 0, nat = 8, ntyp = 4
/
ATOMIC_SPECIES
Ho 164.93 Ho.upf
Hf 178.49 Hf.upf
Pa 231.04 Pa.upf
N 14.01 N.upf
CELL_PARAMETERS angstrom
5.8490 0.0000 0.0000
0.0000 3.3721 0.0000
-1.9391 0.0000 5.6729
ATOMIC_POSITIONS crystal
Ho 0.0000 0.0000 0.0000
Hf 0.5000 0.5000 0.0000
Pa 0.0000 0.5000 0.5000
Pa 0.5000 0.0000 0.5000
N 0.2611 0.5000 0.2378
N 0.2701 0.0000 0.7709
N 0.7299 0.0000 0.2291
N 0.7389 0.5000 0.7622
! * ΔE_f (raw): -1.67 eV/atom
! * symmetry: P2/m, No. 10
! * crystal system: monoclinic

---

Which spin magnetization belongs to each record? In order, 0.000 1.685 0.000 0.002 5.999 0.000 0.001 0.000 6.010 2.263 0.000 0.000 μB per cell.